(1)
# TaHPd2Ru

A relaxed TaHPd2Ru crystal (GGA-PBE, Alexandria via LeMat-Bulk).

The structure belongs to space group P4/mmm (No. 123); the cell edges are 3.8932, 3.8932 and 4.1921 Å and the angles 90.00°, 90.00° and 90.00°. Symmetry generates all atoms from Ta at (0.0000, 0.0000, 0.0000), H at (0.5000, 0.5000, 0.5000), Pd at (0.0000, 0.5000, 0.5000) and Ru at (0.5000, 0.5000, 0.0000).

The crystal system is tetragonal. The theoretical density is 12.96 g/cm3. The total magnetic moment is 0.00 μB/f.u.

***

(2)
# TaHPd2Ru

A relaxed TaHPd2Ru crystal (GGA-PBE, Alexandria via LeMat-Bulk).

The structure belongs to space group P4/mmm (No. 123); the cell edges are 3.8490, 3.8490 and 4.3180 Å and the angles 90.00°, 90.00° and 90.00°. Symmetry generates all atoms from Ta at (0.0000, 0.0000, 0.0000), H at (0.0000, 0.0000, 0.5000), Pd at (0.0000, 0.5000, 0.5000) and Ru at (0.5000, 0.5000, 0.0000).

The crystal system is tetragonal. The theoretical density is 12.87 g/cm3. The total magnetic moment is 0.00 μB/f.u.

***

Of them, (2) has the lowest stability.

***

(1)
# VHPd2Ru

A relaxed VHPd2Ru crystal (GGA-PBE, Alexandria via LeMat-Bulk).

The structure belongs to space group P4/mmm (No. 123); the cell edges are 3.8632, 3.8632 and 4.0546 Å and the angles 90.00°, 90.00° and 90.00°. Symmetry generates all atoms from V at (0.0000, 0.0000, 0.0000), H at (0.5000, 0.5000, 0.5000), Pd at (0.0000, 0.5000, 0.5000) and Ru at (0.5000, 0.5000, 0.0000).

The crystal system is tetragonal. The theoretical density is 10.04 g/cm3. The total magnetic moment is 0.42 μB/f.u.

***

(2)
# VHPd2Ru

A relaxed VHPd2Ru crystal (GGA-PBE, Alexandria via LeMat-Bulk).

The structure belongs to space group P4/mmm (No. 123); the cell edges are 3.8222, 3.8222 and 4.1335 Å and the angles 90.00°, 90.00° and 90.00°. Symmetry generates all atoms from V at (0.0000, 0.0000, 0.0000), H at (0.0000, 0.0000, 0.5000), Pd at (0.0000, 0.5000, 0.5000) and Ru at (0.5000, 0.5000, 0.0000).

The crystal system is tetragonal. The theoretical density is 10.06 g/cm3. The total magnetic moment is 0.36 μB/f.u.

***

Of them, (2) has the lowest stability.

***

(1)
# HPdRu2W

A relaxed HPdRu2W crystal (GGA-PBE, Alexandria via LeMat-Bulk).

The structure belongs to space group P4/mmm (No. 123); the cell edges are 3.9349, 3.9349 and 3.9296 Å and the angles 90.00°, 90.00° and 90.00°. Symmetry generates all atoms from H at (0.0000, 0.0000, 0.0000), Pd at (0.5000, 0.5000, 0.5000), Ru at (0.0000, 0.5000, 0.0000) and W at (0.0000, 0.0000, 0.5000).

The crystal system is tetragonal. The theoretical density is 13.47 g/cm3. The total magnetic moment is 0.00 μB/f.u.

***

(2)
# HPdRu2W

A relaxed HPdRu2W crystal (GGA-PBE, Alexandria via LeMat-Bulk).

The structure belongs to space group P4/mmm (No. 123); the cell edges are 3.9867, 3.9867 and 3.8209 Å and the angles 90.00°, 90.00° and 90.00°. Symmetry generates all atoms from H at (0.0000, 0.0000, 0.0000), Pd at (0.0000, 0.0000, 0.5000), Ru at (0.0000, 0.5000, 0.0000) and W at (0.5000, 0.5000, 0.5000).

The crystal system is tetragonal. The theoretical density is 13.49 g/cm3. The total magnetic moment is 0.00 μB/f.u.

***

Of them, (1) has the lowest stability.